[1]
This record from the Alexandria database describes an optimized crystal structure of V3SbW. The functional is PBE-GGA.

a b c (Å): 4.629 4.629 4.629
angles (deg): 90.00 90.00 90.00
Sites, in units of the cell vectors:
V (0.000, 0.000, 0.500)
V (0.000, 0.500, 0.000)
V (0.500, 0.000, 0.000)
Sb (0.500, 0.500, 0.500)
W (0.000, 0.000, 0.000)

Properties
Theoretical density ... 7.7 g/cm3
Volume ... 99 Å³/cell
Uncorrected formation energy ... 1188 meV/atom
M_tot ... 0.01 μB/cell

***

[2]
This record from the Alexandria database describes an optimized crystal structure of VSbW2. The functional is PBE-GGA.

a b c (Å): 10.211 10.211 10.211
angles (deg): 158.21 158.21 31.01
Sites, in units of the cell vectors:
V (0.000, 0.000, 0.000)
V (0.750, 0.250, 0.500)
Sb (0.250, 0.750, 0.500)
Sb (0.500, 0.500, 0.000)
W (0.119, 0.625, 0.994)
W (0.375, 0.369, 0.494)
W (0.631, 0.125, 0.006)
W (0.875, 0.881, 0.506)

Properties
Theoretical density ... 12.2 g/cm3
Volume ... 147 Å³/cell
Uncorrected formation energy ... 824 meV/atom
M_tot ... 3.64 μB/cell

***

[3]
This record from the Alexandria database describes an optimized crystal structure of YV3Sb. The functional is PBE-GGA.

a b c (Å): 4.709 4.709 4.709
angles (deg): 90.00 90.00 90.00
Sites, in units of the cell vectors:
Y (0.000, 0.000, 0.000)
V (0.000, 0.000, 0.500)
V (0.000, 0.500, 0.000)
V (0.500, 0.000, 0.000)
Sb (0.500, 0.500, 0.500)

Properties
Theoretical density ... 5.8 g/cm3
Volume ... 104 Å³/cell
Uncorrected formation energy ... 1837 meV/atom
M_tot ... 0.26 μB/cell

***

[4]
This record from the Alexandria database describes an optimized crystal structure of YVSb2. The functional is PBE-GGA.

a b c (Å): 8.239 8.239 8.239
angles (deg): 134.60 134.60 66.15
Sites, in units of the cell vectors:
Y (0.000, 0.000, 0.000)
Y (0.750, 0.250, 0.500)
V (0.250, 0.750, 0.500)
V (0.500, 0.500, 0.000)
Sb (0.177, 0.625, 0.052)
Sb (0.375, 0.427, 0.552)
Sb (0.573, 0.125, 0.948)
Sb (0.875, 0.823, 0.448)

Properties
Theoretical density ... 4.6 g/cm3
Volume ... 279 Å³/cell
Uncorrected formation energy ... 29 meV/atom
M_tot ... 4.00 μB/cell

***

[5]
This record from the Alexandria database describes an optimized crystal structure of Y2V4Sb. The functional is PBE-GGA.

a b c (Å): 8.349 8.349 8.349
angles (deg): 146.19 146.19 48.56
Sites, in units of the cell vectors:
Y (0.122, 0.122, 0.000)
Y (0.878, 0.878, 0.000)
V (0.000, 0.500, 0.500)
V (0.325, 0.325, 0.000)
V (0.500, 0.000, 0.500)
V (0.675, 0.675, 0.000)
Sb (0.500, 0.500, 0.000)

Properties
Theoretical density ... 4.7 g/cm3
Volume ... 179 Å³/cell
Uncorrected formation energy ... 1050 meV/atom
M_tot ... 8.40 μB/cell

***

[6]
This record from the Alexandria database describes an optimized crystal structure of YVSb2. The functional is PBE-GGA.

a b c (Å): 5.111 5.111 5.111
angles (deg): 60.00 60.00 60.00
Sites, in units of the cell vectors:
Y (0.000, 0.000, 0.000)
V (0.500, 0.500, 0.500)
Sb (0.250, 0.250, 0.250)
Sb (0.750, 0.750, 0.750)

Properties
Theoretical density ... 6.7 g/cm3
Volume ... 94 Å³/cell
Uncorrected formation energy ... -231 meV/atom
M_tot ... 2.09 μB/cell

***

[7]
This record from the Alexandria database describes an optimized crystal structure of YV3Sb. The functional is PBE-GGA.

a b c (Å): 5.009 5.009 5.009
angles (deg): 90.00 90.00 90.00
Sites, in units of the cell vectors:
Y (0.000, 0.000, 0.000)
V (0.000, 0.500, 0.500)
V (0.500, 0.000, 0.500)
V (0.500, 0.500, 0.000)
Sb (0.500, 0.500, 0.500)

Properties
Theoretical density ... 4.8 g/cm3
Volume ... 126 Å³/cell
Uncorrected formation energy ... 1008 meV/atom
M_tot ... 7.99 μB/cell

***

[8]
This record from the Alexandria database describes an optimized crystal structure of Y2VSb. The functional is PBE-GGA.

a b c (Å): 6.604 6.604 6.604
angles (deg): 104.32 104.32 120.35
Sites, in units of the cell vectors:
Y (0.111, 0.625, 0.986)
Y (0.375, 0.361, 0.486)
Y (0.639, 0.125, 0.014)
Y (0.875, 0.889, 0.514)
V (0.000, 0.000, 0.000)
V (0.750, 0.250, 0.500)
Sb (0.250, 0.750, 0.500)
Sb (0.500, 0.500, 0.000)

Properties
Theoretical density ... 5.4 g/cm3
Volume ... 216 Å³/cell
Uncorrected formation energy ... 189 meV/atom
M_tot ... 6.77 μB/cell